[1]
# Cs2LaAs2O6 (GGA-PBE, optimized geometry)
# Magnetization in μB per formula unit: 0.74
# E in eV per atom: -6.08
data_Cs2LaAs2O6
_cell_length_a 10.943
_cell_length_b 6.361
_cell_length_c 7.456
_cell_angle_alpha 90.00
_cell_angle_beta 111.87
_cell_angle_gamma 90.00
_space_group_name_H-M_alt 'C 1 2/m 1'
_space_group_IT_number 12
loop_
_space_group_symop_operation_xyz
'x,y,z'
'-x,-y,-z'
'-x,y,-z'
'x,-y,z'
'x+1/2,y+1/2,z'
'-x+1/2,-y+1/2,-z'
'-x+1/2,y+1/2,-z'
'x+1/2,-y+1/2,z'
loop_
_atom_site_label
_atom_site_fract_x
_atom_site_fract_y
_atom_site_fract_z
Cs1 0.230 0.000 0.270
La1 0.000 0.500 0.000
As1 0.099 0.000 0.717
O1 0.062 0.222 0.831
O2 0.228 0.500 0.222

---

[2]
# CsLaAs2O6 (GGA-PBE, optimized geometry)
# Magnetization in μB per formula unit: 0.00
# E in eV per atom: -6.34
data_CsLaAs2O6
_cell_length_a 10.376
_cell_length_b 10.611
_cell_length_c 6.966
_cell_angle_alpha 90.00
_cell_angle_beta 108.76
_cell_angle_gamma 90.00
_space_group_name_H-M_alt 'C 1 2/c 1'
_space_group_IT_number 15
loop_
_space_group_symop_operation_xyz
'x,y,z'
'-x,-y,-z'
'-x,y,-z+1/2'
'x,-y,z+1/2'
'x+1/2,y+1/2,z'
'-x+1/2,-y+1/2,-z'
'-x+1/2,y+1/2,-z+1/2'
'x+1/2,-y+1/2,z+1/2'
loop_
_atom_site_label
_atom_site_fract_x
_atom_site_fract_y
_atom_site_fract_z
Cs1 0.000 0.198 0.250
La1 0.000 0.392 0.750
As1 0.202 0.071 0.790
O1 0.116 0.433 0.115
O2 0.156 0.230 0.739
O3 0.167 0.014 0.043

---

[3]
# CsLa3As4O12 (GGA-PBE, optimized geometry)
# Magnetization in μB per formula unit: 0.00
# E in eV per atom: -6.50
data_CsLa3As4O12
_cell_length_a 11.9102
_cell_length_b 11.9102
_cell_length_c 9.7841
_cell_angle_alpha 90.00
_cell_angle_beta 90.00
_cell_angle_gamma 120.00
_space_group_name_H-M_alt 'R 3 2'
_space_group_IT_number 155
_space_group_name_Hall 'R 3 2"'
loop_
_atom_site_label
_atom_site_fract_x
_atom_site_fract_y
_atom_site_fract_z
Cs1 0.0000 0.0000 0.0000
La1 0.0000 0.5653 0.0000
As1 0.0000 0.0000 0.5000
As2 0.0000 0.4255 0.5000
O1 0.0000 0.5741 0.5000
O2 0.0000 0.8350 0.5000
O3 0.0322 0.2077 0.2201

---

[4]
# CsLa2ReAs (GGA-PBE, optimized geometry)
# Formation energy in eV per atom: 0.3658
# Magnetization in μB per formula unit: 0.00
# E in eV per atom: -5.20
data_CsLa2ReAs
_cell_length_a 5.901
_cell_length_b 5.901
_cell_length_c 4.685
_cell_angle_alpha 90.00
_cell_angle_beta 90.00
_cell_angle_gamma 90.00
_space_group_name_H-M_alt 'P 4/m m m'
_space_group_IT_number 123
_space_group_name_Hall '-P 4 2'
loop_
_atom_site_label
_atom_site_fract_x
_atom_site_fract_y
_atom_site_fract_z
Cs1 0.000 0.000 0.000
La1 0.000 0.500 0.500
Re1 0.500 0.500 0.000
As1 0.500 0.500 0.500

---

[5]
# Cs2LaAs2S6 (GGA-PBE, optimized geometry)
# Magnetization in μB per formula unit: 0.00
# E in eV per atom: -4.58
data_Cs2LaAs2S6
_cell_length_a 12.719
_cell_length_b 7.356
_cell_length_c 8.817
_cell_angle_alpha 90.00
_cell_angle_beta 119.51
_cell_angle_gamma 90.00
_space_group_name_H-M_alt 'C 1 2/m 1'
_space_group_IT_number 12
loop_
_space_group_symop_operation_xyz
'x,y,z'
'-x,-y,-z'
'-x,y,-z'
'x,-y,z'
'x+1/2,y+1/2,z'
'-x+1/2,-y+1/2,-z'
'-x+1/2,y+1/2,-z'
'x+1/2,-y+1/2,z'
loop_
_atom_site_label
_atom_site_fract_x
_atom_site_fract_y
_atom_site_fract_z
Cs1 0.210 0.000 0.193
La1 0.000 0.000 0.500
As1 0.049 0.500 0.188
S1 0.038 0.253 0.775
S2 0.249 0.500 0.374

---

[6]
# CsLa2As2S6 (GGA-PBE, optimized geometry)
# Magnetization in μB per formula unit: 0.00
# E in eV per atom: -5.15
data_CsLa2As2S6
_cell_length_a 7.789
_cell_length_b 8.016
_cell_length_c 8.122
_cell_angle_alpha 65.36
_cell_angle_beta 62.51
_cell_angle_gamma 61.27
_space_group_name_H-M_alt 'P -1'
_space_group_IT_number 2
loop_
_space_group_symop_operation_xyz
'x,y,z'
'-x,-y,-z'
loop_
_atom_site_label
_atom_site_fract_x
_atom_site_fract_y
_atom_site_fract_z
Cs1 0.000 0.000 0.000
La1 0.325 0.303 0.042
As1 0.342 0.647 0.562
S1 0.115 0.480 0.755
S2 0.341 0.916 0.219
S3 0.448 0.640 0.790

---

[7]
# CsLaAs2S (GGA-PBE, optimized geometry)
# Magnetization in μB per formula unit: 0.01
# E in eV per atom: -3.69
data_CsLaAs2S
_cell_length_a 5.084
_cell_length_b 5.084
_cell_length_c 5.683
_cell_angle_alpha 90.00
_cell_angle_beta 90.00
_cell_angle_gamma 90.00
_space_group_name_H-M_alt 'P 4/m m m'
_space_group_IT_number 123
_space_group_name_Hall '-P 4 2'
loop_
_atom_site_label
_atom_site_fract_x
_atom_site_fract_y
_atom_site_fract_z
Cs1 0.000 0.000 0.000
La1 0.500 0.500 0.000
As1 0.000 0.500 0.500
S1 0.000 0.000 0.500

---

[8]
# Cs2LaAs2Se6 (GGA-PBE, optimized geometry)
# Magnetization in μB per formula unit: 0.00
# E in eV per atom: -4.16
data_Cs2LaAs2Se6
_cell_length_a 13.213
_cell_length_b 7.638
_cell_length_c 9.138
_cell_angle_alpha 90.00
_cell_angle_beta 119.29
_cell_angle_gamma 90.00
_space_group_name_H-M_alt 'C 1 2/m 1'
_space_group_IT_number 12
loop_
_space_group_symop_operation_xyz
'x,y,z'
'-x,-y,-z'
'-x,y,-z'
'x,-y,z'
'x+1/2,y+1/2,z'
'-x+1/2,-y+1/2,-z'
'-x+1/2,y+1/2,-z'
'x+1/2,-y+1/2,z'
loop_
_atom_site_label
_atom_site_fract_x
_atom_site_fract_y
_atom_site_fract_z
Cs1 0.212 0.000 0.201
La1 0.000 0.000 0.500
As1 0.045 0.500 0.179
Se1 0.046 0.245 0.788
Se2 0.250 0.000 0.628